# Li2YSb (PBE-GGA, relaxed)
data_Li2YSb
_chemical_formula_sum 'Li8 Y4 Sb4'
_space_group_name_H-M_alt 'F m m m'
_space_group_IT_number 69
_space_group_name_Hall '-F 2 2'
_cell_length_a 6.058
_cell_length_b 6.118
_cell_length_c 11.331
_cell_angle_alpha 90.00
_cell_angle_beta 90.00
_cell_angle_gamma 90.00
loop_
_atom_site_label
_atom_site_fract_x
_atom_site_fract_y
_atom_site_fract_z
Li1 0.000 0.250 0.250
Y1 0.000 0.000 0.000
Sb1 0.000 0.000 0.500
# calculated total energy = -3.909 eV per atom
# theoretical density = 3.55 g/cm3

---

# CaLa2Cu (PBE-GGA, relaxed)
data_CaLa2Cu
_chemical_formula_sum 'Ca4 La8 Cu4'
_space_group_name_H-M_alt 'F m -3 m'
_space_group_IT_number 225
_space_group_name_Hall '-F 4 2 3'
_cell_length_a 7.850
_cell_length_b 7.850
_cell_length_c 7.850
_cell_angle_alpha 90.00
_cell_angle_beta 90.00
_cell_angle_gamma 90.00
loop_
_atom_site_label
_atom_site_fract_x
_atom_site_fract_y
_atom_site_fract_z
Ca1 0.000 0.000 0.000
La1 0.250 0.250 0.250
Cu1 0.000 0.000 0.500
# calculated total energy = -3.776 eV per atom
# theoretical density = 5.24 g/cm3
# energy above the most stable polymorph in this dataset = 243 meV/atom

---

# TbThRhAu (PBE-GGA, relaxed)
data_TbThRhAu
_chemical_formula_sum 'Tb2 Th2 Rh2 Au2'
_space_group_name_H-M_alt 'A m m 2'
_space_group_IT_number 38
_cell_length_a 4.159
_cell_length_b 3.939
_cell_length_c 11.797
_cell_angle_alpha 90.00
_cell_angle_beta 90.00
_cell_angle_gamma 90.00
loop_
_space_group_symop_operation_xyz
'x,y,z'
'-x,-y,z'
'-x,y,z'
'x,-y,z'
'x,y+1/2,z+1/2'
'-x,-y+1/2,z+1/2'
'-x,y+1/2,z+1/2'
'x,-y+1/2,z+1/2'
loop_
_atom_site_label
_atom_site_fract_x
_atom_site_fract_y
_atom_site_fract_z
Tb1 0.000 0.000 0.000
Th1 0.500 0.000 0.720
Rh1 0.000 0.000 0.249
Au1 0.500 0.000 0.435
# calculated total energy = -6.560 eV per atom
# theoretical density = 11.87 g/cm3
# energy above the most stable polymorph in this dataset = 0 meV/atom

---

# Sb2Se2N (PBE-GGA, relaxed)
data_Sb2Se2N
_chemical_formula_sum 'Sb4 Se4 N2'
_space_group_name_H-M_alt 'I 4/m m m'
_space_group_IT_number 139
_space_group_name_Hall '-I 4 2'
_cell_length_a 5.565
_cell_length_b 5.565
_cell_length_c 10.780
_cell_angle_alpha 90.00
_cell_angle_beta 90.00
_cell_angle_gamma 90.00
loop_
_atom_site_label
_atom_site_fract_x
_atom_site_fract_y
_atom_site_fract_z
Sb1 0.000 0.000 0.178
Se1 0.000 0.500 0.250
N1 0.000 0.000 0.000
# calculated total energy = -4.438 eV per atom
# theoretical density = 4.13 g/cm3
# energy above the most stable polymorph in this dataset = 0 meV/atom